Record 1
Computed, not measured: a relaxed structure of ZrScZn5 at the GGA-PBE level of DFT.

Summary:
Its energy of formation from the pure elements is -0.031 eV/atom. As for the total DFT energy (no corrections): -0.2254 Ry/atom.

Cell: 4.439 4.439 6.514 Å, 90.00 90.00 90.00°
Fractional positions:
1 Zr 0.000 0.000 0.000
2 Sc 0.500 0.500 0.500
3 Zn 0.000 0.500 0.263
4 Zn 0.000 0.500 0.737
5 Zn 0.500 0.000 0.263
6 Zn 0.500 0.000 0.737
7 Zn 0.500 0.500 0.000



Record 2
Computed, not measured: a relaxed structure of ZrSc4Zn at the GGA-PBE level of DFT.

Summary:
Its energy of formation from the pure elements is -0.106 eV/atom. As for the total DFT energy (no corrections): -0.4384 Ry/atom.

Cell: 3.248 3.248 12.773 Å, 90.00 90.00 90.00°
Fractional positions:
1 Zr 0.000 0.000 0.000
2 Sc 0.000 0.000 0.363
3 Sc 0.000 0.000 0.637
4 Sc 0.500 0.500 0.172
5 Sc 0.500 0.500 0.828
6 Zn 0.500 0.500 0.500



Record 3
Computed, not measured: a relaxed structure of ZrSc2Zn at the GGA-PBE level of DFT.

Summary:
Its energy of formation from the pure elements is -0.197 eV/atom. As for the total DFT energy (no corrections): -0.4276 Ry/atom.

Cell: 3.243 3.243 8.072 Å, 90.00 90.00 90.00°
Fractional positions:
1 Zr 0.000 0.000 0.000
2 Sc 0.500 0.500 0.276
3 Sc 0.500 0.500 0.724
4 Zn 0.000 0.000 0.500



Record 4
Computed, not measured: a relaxed structure of ZrScZn2 at the GGA-PBE level of DFT.

Summary:
Its energy of formation from the pure elements is -0.254 eV/atom. As for the total DFT energy (no corrections): -0.3389 Ry/atom.

Cell: 3.307 4.287 5.638 Å, 90.00 106.92 90.00°
Fractional positions:
1 Zr 0.000 0.000 0.000
2 Sc 0.679 0.500 0.357
3 Zn 0.266 0.000 0.531
4 Zn 0.407 0.500 0.815



Record 5
Computed, not measured: a relaxed structure of ZrSc2Zn at the GGA-PBE level of DFT.

Summary:
Its energy of formation from the pure elements is -0.096 eV/atom. As for the total DFT energy (no corrections): -0.4202 Ry/atom.

Cell: 4.384 4.384 4.344 Å, 90.00 90.00 90.00°
Fractional positions:
1 Zr 0.000 0.000 0.000
2 Sc 0.000 0.500 0.500
3 Sc 0.500 0.000 0.500
4 Zn 0.500 0.500 0.000



Record 6
Computed, not measured: a relaxed structure of ZrScZn2 at the GGA-PBE level of DFT.

Summary:
Its energy of formation from the pure elements is -0.106 eV/atom. As for the total DFT energy (no corrections): -0.3280 Ry/atom.

Cell: 4.723 4.723 5.704 Å, 101.29 101.29 40.45°
Fractional positions:
1 Zr 0.000 0.000 0.000
2 Sc 0.500 0.500 0.500
3 Zn 0.249 0.249 0.747
4 Zn 0.751 0.751 0.253